(1)
First-principles (meta-GGA SCAN) data for a crystal of Y2ZnCr relaxed with PBEsol, as listed in the Alexandria database.

abc: 7.0306 7.0306 7.0306
angles: 90.00 90.00 90.00
With the nearest neighbours (Å) after each atom.
Sites, in units of the cell vectors:
Y (0.2500, 0.2500, 0.2500)  4 Cr 3.04, 4 Zn 3.04
Y (0.2500, 0.2500, 0.7500)  4 Cr 3.04, 4 Zn 3.04
Y (0.2500, 0.7500, 0.2500)  4 Cr 3.04, 4 Zn 3.04
Y (0.2500, 0.7500, 0.7500)  4 Cr 3.04, 4 Zn 3.04
Y (0.7500, 0.2500, 0.2500)  4 Cr 3.04, 4 Zn 3.04
Y (0.7500, 0.2500, 0.7500)  4 Cr 3.04, 4 Zn 3.04
Y (0.7500, 0.7500, 0.2500)  4 Cr 3.04, 4 Zn 3.04
Y (0.7500, 0.7500, 0.7500)  4 Cr 3.04, 4 Zn 3.04
Zn (0.0000, 0.0000, 0.0000)  8 Y 3.04
Zn (0.0000, 0.5000, 0.5000)  8 Y 3.04
Zn (0.5000, 0.0000, 0.5000)  8 Y 3.04
Zn (0.5000, 0.5000, 0.0000)  8 Y 3.04
Cr (0.0000, 0.0000, 0.5000)  8 Y 3.04
Cr (0.0000, 0.5000, 0.0000)  8 Y 3.04
Cr (0.5000, 0.0000, 0.0000)  8 Y 3.04
Cr (0.5000, 0.5000, 0.5000)  8 Y 3.04

Calculated values
Space group ... Fm-3m
E_form ... -0.173 eV/atom
ΔE to the lowest computed polymorph ... 0.000 eV/atom

---

(2)
First-principles (meta-GGA SCAN) data for a crystal of Li2AgTe relaxed with PBEsol, as listed in the Alexandria database.

abc: 3.1640 4.1981 5.7939
angles: 90.00 90.00 90.00
With the nearest neighbours (Å) after each atom.
Sites, in units of the cell vectors:
Li (0.0000, 0.0000, 0.0000)  4 Ag 2.82, 2 Te 2.89-2.91, 4 Li 3.13
Li (0.5000, 0.5000, 0.2933)  1 Ag 2.71, 4 Te 2.88
Ag (0.5000, 0.5000, 0.8251)  5 Li 2.71-2.82
Te (0.0000, 0.0000, 0.4980)  6 Li 2.88-2.91, 2 Te 3.16

Calculated values
Space group ... Pmm2
E_form (uncorrected) ... -150 kJ/mol of formula units

---

(3)
First-principles (meta-GGA SCAN) data for a crystal of NdFe2Ge2 relaxed with PBEsol, as listed in the Alexandria database.

abc: 4.0296 4.0296 9.8972
angles: 90.00 90.00 90.00
With the nearest neighbours (Å) after each atom.
Sites, in units of the cell vectors:
Nd (0.0000, 0.0000, 0.0000)  8 Ge 3.15, 8 Fe 3.19
Nd (0.5000, 0.5000, 0.5000)  8 Ge 3.15, 8 Fe 3.19
Fe (0.0000, 0.5000, 0.2500)  4 Ge 2.31
Fe (0.0000, 0.5000, 0.7500)  4 Ge 2.31
Fe (0.5000, 0.0000, 0.2500)  4 Ge 2.31
Fe (0.5000, 0.0000, 0.7500)  4 Ge 2.31
Ge (0.0000, 0.0000, 0.3641)  4 Fe 2.31
Ge (0.0000, 0.0000, 0.6359)  4 Fe 2.31
Ge (0.5000, 0.5000, 0.1359)  4 Fe 2.31
Ge (0.5000, 0.5000, 0.8641)  4 Fe 2.31

Calculated values
Space group ... I4/mmm
E_form ... -0.414 eV/atom

---

(4)
First-principles (meta-GGA SCAN) data for a crystal of TiAgB2C relaxed with PBEsol, as listed in the Alexandria database.

abc: 3.6364 3.6364 3.9745
angles: 90.00 90.00 90.00
With the nearest neighbours (Å) after each atom.
Sites, in units of the cell vectors:
Ti (0.0000, 0.0000, 0.0000)  2 C 1.99
Ag (0.5000, 0.5000, 0.0000)  4 Ti 2.57, 8 B 2.69
B (0.0000, 0.5000, 0.5000)  2 C 1.82
B (0.5000, 0.0000, 0.5000)  2 C 1.82
C (0.0000, 0.0000, 0.5000)  4 B 1.82, 2 Ti 1.99

Calculated values
Space group ... P4/mmm
E_form ... 1.047 eV/atom

---

(5)
First-principles (meta-GGA SCAN) data for a crystal of Ba2CoN2 relaxed with PBEsol, as listed in the Alexandria database.

abc: 4.0507 4.0507 12.6864
angles: 90.00 90.00 90.00
With the nearest neighbours (Å) after each atom.
Sites, in units of the cell vectors:
Ba (0.0000, 0.0000, 0.1414)  5 N 2.85-2.87
Ba (0.0000, 0.0000, 0.8586)  5 N 2.85-2.87
Ba (0.5000, 0.5000, 0.3586)  5 N 2.85-2.87
Ba (0.5000, 0.5000, 0.6414)  5 N 2.85-2.87
Co (0.0000, 0.0000, 0.5000)  2 N 1.70
Co (0.5000, 0.5000, 0.0000)  2 N 1.70
N (0.0000, 0.0000, 0.3662)  1 Co 1.70
N (0.0000, 0.0000, 0.6338)  1 Co 1.70
N (0.5000, 0.5000, 0.1338)  1 Co 1.70
N (0.5000, 0.5000, 0.8662)  1 Co 1.70

Calculated values
Space group ... I4/mmm
E_form (uncorrected) ... -248 kJ/mol of formula units

---

(6)
First-principles (meta-GGA SCAN) data for a crystal of ScIn2Cu relaxed with PBEsol, as listed in the Alexandria database.

abc: 3.2423 3.2423 7.5472
angles: 90.00 90.00 90.00
With the nearest neighbours (Å) after each atom.
Sites, in units of the cell vectors:
Sc (0.0000, 0.0000, 0.0000)  4 Cu 2.77
In (0.0000, 0.0000, 0.4163)  4 Cu 2.79
In (0.5000, 0.5000, 0.7192)  4 Sc 3.12, 8 In 3.24
Cu (0.5000, 0.5000, 0.2061)  4 Sc 2.77, 4 In 2.79

Calculated values
Space group ... P4mm
E_form ... -0.172 eV/atom

---

(7)
First-principles (meta-GGA SCAN) data for a crystal of La2ZnRu relaxed with PBEsol, as listed in the Alexandria database.

abc: 3.4582 4.7510 10.9581
angles: 90.00 90.00 90.00
With the nearest neighbours (Å) after each atom.
Sites, in units of the cell vectors:
La (0.0000, 0.0000, 0.0000)  2 Ru 3.09, 4 Zn 3.11, 4 La 3.24-3.46
La (0.0000, 0.5000, 0.2012)  4 Ru 2.96, 2 La 3.24, 2 Zn 3.27
La (0.5000, 0.0000, 0.7012)  4 Ru 2.96, 2 La 3.24, 2 Zn 3.27
La (0.5000, 0.5000, 0.5000)  2 Ru 3.09, 4 Zn 3.11, 4 La 3.24-3.46
Zn (0.0000, 0.0000, 0.4068)  2 Ru 2.56
Zn (0.5000, 0.5000, 0.9068)  2 Ru 2.56
Ru (0.0000, 0.5000, 0.7340)  2 Zn 2.56
Ru (0.5000, 0.0000, 0.2340)  2 Zn 2.56

Calculated values
Space group ... Imm2
E_form ... -0.223 eV/atom

---

(8)
First-principles (meta-GGA SCAN) data for a crystal of AgHg3 relaxed with PBEsol, as listed in the Alexandria database.

abc: 3.1749 3.1749 9.4498
angles: 90.00 90.00 120.00
With the nearest neighbours (Å) after each atom.
Sites, in units of the cell vectors:
Ag (0.0000, 0.0000, 0.0000)  6 Hg 2.89, 6 Ag 3.17
Hg (0.0000, 0.0000, 0.5000)  12 Hg 3.09-3.17
Hg (0.6667, 0.3333, 0.2366)  3 Ag 2.89, 9 Hg 3.09-3.17
Hg (0.6667, 0.3333, 0.7634)  3 Ag 2.89, 9 Hg 3.09-3.17

Calculated values
Space group ... P-6m2
E_form ... 0.078 eV/atom

---

(9)
First-principles (meta-GGA SCAN) data for a crystal of K3EuF6 relaxed with PBEsol, as listed in the Alexandria database.

abc: 6.6122 6.6122 6.6122
angles: 60.00 60.00 60.00
With the nearest neighbours (Å) after each atom.
Sites, in units of the cell vectors:
K (0.0000, 0.0000, 0.0000)  6 F 2.47
K (0.2500, 0.2500, 0.2500)  12 F 3.31
K (0.7500, 0.7500, 0.7500)  12 F 3.31
Eu (0.5000, 0.5000, 0.5000)  6 F 2.20
F (0.2646, 0.2646, 0.7354)  1 Eu 2.20
F (0.2646, 0.7354, 0.2646)  1 Eu 2.20
F (0.2646, 0.7354, 0.7354)  1 Eu 2.20
F (0.7354, 0.2646, 0.2646)  1 Eu 2.20
F (0.7354, 0.2646, 0.7354)  1 Eu 2.20
F (0.7354, 0.7354, 0.2646)  1 Eu 2.20

Calculated values
Space group ... Fm-3m
E_form (uncorrected) ... -3046 kJ/mol of formula units

---

(10)
First-principles (meta-GGA SCAN) data for a crystal of MgZrNF2 relaxed with PBEsol, as listed in the Alexandria database.

abc: 4.2068 4.2068 4.2081
angles: 90.00 90.00 90.00
With the nearest neighbours (Å) after each atom.
Sites, in units of the cell vectors:
Mg (0.0000, 0.0000, 0.0000)  4 N 2.97, 8 F 2.98
Zr (0.5000, 0.5000, 0.5000)  4 F 2.10, 2 N 2.10
N (0.5000, 0.5000, 0.0000)  2 Zr 2.10
F (0.0000, 0.5000, 0.5000)  2 Zr 2.10
F (0.5000, 0.0000, 0.5000)  2 Zr 2.10

Calculated values
Space group ... P4/mmm
E_form (uncorrected) ... -935 kJ/mol of formula units

---

no.,M_tot (μB per cell)
1,14.907
2,0.000
3,3.068
4,0.000
5,1.955
6,0.003
7,0.000
8,0.000
9,6.000
10,0.513